A geometry-optimized Zr2Tl2V structure, computed with PBE-GGA.

Computed properties:
**ΔH_f (0 K)**: 221.6 meV per atom
**Uncorrected energy**: -5.968 eV/atom
**Spin magnetization**: 5.11 μB/cell
**Crystal system**: tetragonal
**Volume**: 22.469 A^3/atom

Cell lengths 7.408, 7.408, 4.094 Å; angles 90.00, 90.00, 90.00 degrees
Space group P4/mbm (No. 127)
Inequivalent atoms, fractional coordinates:
Zr 0.168 0.332 0.000 [4 per cell]
Tl 0.138 0.638 0.500 [4 per cell]
V 0.000 0.000 0.500 [2 per cell]

---

A geometry-optimized Ta2FeCoW structure, computed with PBE-GGA.

Computed properties:
**ΔH_f (0 K)**: 1756.4 meV per atom
**Uncorrected energy**: -8.689 eV/atom
**Spin magnetization**: 2.75 μB/cell
**Crystal system**: tetragonal
**Volume**: 20.586 A^3/atom

Cell lengths 4.846, 4.846, 4.382 Å; angles 90.00, 90.00, 90.00 degrees
Space group P4/mmm (No. 123)
Inequivalent atoms, fractional coordinates:
Ta 0.000 0.500 0.000 [2 per cell]
Fe 0.000 0.000 0.500 [1 per cell]
Co 0.500 0.500 0.500 [1 per cell]
W 0.500 0.500 0.000 [1 per cell]

---

A geometry-optimized ScNiMo structure, computed with PBE-GGA.

Computed properties:
**ΔH_f (0 K)**: -35.2 meV per atom
**Uncorrected energy**: -7.683 eV/atom
**Spin magnetization**: 0.00 μB/cell
**Crystal system**: monoclinic
**Distance to the lowest polymorph of the same formula**: 0.0802 eV per atom
**Volume**: 15.786 A^3/atom

Cell lengths 2.869, 4.510, 7.330 Å; angles 90.00, 93.27, 90.00 degrees
Space group Pm (No. 6)
Inequivalent atoms, fractional coordinates:
Sc 0.000 0.000 0.000 [1 per cell]
Sc 0.331 0.000 0.603 [1 per cell]
Ni 0.473 0.500 0.084 [1 per cell]
Ni 0.577 0.000 0.288 [1 per cell]
Mo 0.771 0.500 0.741 [1 per cell]
Mo 0.964 0.500 0.394 [1 per cell]

---

Q: ΔH_f (0 K) of number 3 (ScNiMo)?
A: -35.2 meV per atom

---

Q: uncorrected energy of number 2 (Ta2FeCoW)?
A: -8.689 eV/atom

---

Q: Among the records above, which one has the lowest ΔH_f (0 K)?
A: ScNiMo

---

Q: Which value of spin magnetization does entry 3 give?
A: 0.00 μB/cell